Here is ThU2 after structural relaxation from the Alexandria database. Energies are from PBE.

Unit cell a=5.8495 b=5.8495 c=5.8495 alpha=60.00 beta=60.00 gamma=60.00
Closest atoms and distances in Å follow each position.
Fractional positions:
Th 0.1250 0.1250 0.1250  12 U 3.43, 4 Th 3.58
Th 0.8750 0.8750 0.8750  12 U 3.43, 4 Th 3.58
U 0.0000 0.5000 0.5000  6 U 2.92
U 0.5000 0.0000 0.5000  6 U 2.92
U 0.5000 0.5000 0.0000  6 U 2.92
U 0.5000 0.5000 0.5000  6 U 2.92

Properties
Fermi-level density of states: 3.00 states/eV/atom
Calculated total energy: -59.01 eV per cell
Magnetic moment: 2.7 Bohr magnetons per cell
Energy of formation from the pure elements: 164 meV per atom